# PC3

A relaxed PC3 crystal (PBE, Alexandria).

Computed properties:
Energy above the most stable polymorph in this dataset = 0.143 eV per atom
ΔH_f (0 K) = 0.786 eV/atom
Space-group type = Amm2
Calculated total energy = -7.485 eV/atom

Cell lengths 2.869, 5.018, 5.018 Å; angles 28.14, 90.00, 90.00 degrees
Fractional coordinates of all 4 atoms:
P: 0.000 0.000 0.000
C: 0.500 0.123 0.123
C: 0.500 0.270 0.270
C: 0.500 0.848 0.848


# PC2

A relaxed PC2 crystal (PBE, Alexandria).

Computed properties:
Energy above the most stable polymorph in this dataset = 1.805 eV per atom
ΔH_f (0 K) = 2.035 eV/atom
Space-group type = R-3m
Calculated total energy = -5.918 eV/atom

Cell lengths 4.069, 4.069, 4.069 Å; angles 41.91, 41.91, 41.91 degrees
Fractional coordinates of all 3 atoms:
P: 0.000 0.000 0.000
C: 0.249 0.249 0.249
C: 0.751 0.751 0.751


# P2C3

A relaxed P2C3 crystal (PBE, Alexandria).

Computed properties:
Energy above the most stable polymorph in this dataset = 0.994 eV per atom
ΔH_f (0 K) = 1.446 eV/atom
Space-group type = P-3m1
Calculated total energy = -6.252 eV/atom

Cell lengths 2.876, 2.876, 6.620 Å; angles 90.00, 90.00, 120.00 degrees
Fractional coordinates of all 5 atoms:
P: 0.333 0.667 0.283
P: 0.667 0.333 0.717
C: 0.000 0.000 0.500
C: 0.333 0.667 0.826
C: 0.667 0.333 0.174